[1]
Material: SrHfTc
Method: DFT, GGA-PBE
State: relaxed

Calculated values
**Relative energy among the computed polymorphs**: 0.00 eV per formula unit

abc: 6.7216 6.7216 6.7216
angles: 90.00 90.00 90.00
Last column: nearest neighbours and their distance in Å.
Space group F-43m (No. 216)
Symmetry-distinct sites (fractional):
Sr: 0.0000 0.0000 0.0000 x4  4 Tc 2.91
Hf: 0.0000 0.0000 0.5000 x4  4 Tc 2.91
Tc: 0.2500 0.2500 0.7500 x4  4 Hf 2.91, 4 Sr 2.91


[2]
Material: SrHfTc
Method: DFT, GGA-PBE
State: relaxed

Calculated values
**Relative energy among the computed polymorphs**: 3.75 eV per formula unit

abc: 6.7382 6.7382 6.7382
angles: 90.00 90.00 90.00
Last column: nearest neighbours and their distance in Å.
Space group F-43m (No. 216)
Symmetry-distinct sites (fractional):
Sr: 0.0000 0.0000 0.0000 x4  4 Tc 2.92, 4 Hf 2.92
Hf: 0.2500 0.2500 0.7500 x4  4 Sr 2.92
Tc: 0.2500 0.2500 0.2500 x4  4 Sr 2.92


[3]
Material: SrHf2Tc
Method: DFT, GGA-PBE
State: relaxed

abc: 7.0915 7.0915 7.0915
angles: 90.00 90.00 90.00
Last column: nearest neighbours and their distance in Å.
Space group F-43m (No. 216)
Symmetry-distinct sites (fractional):
Sr: 0.0000 0.0000 0.0000 x4  4 Tc 3.07, 4 Hf 3.07
Hf: 0.0000 0.0000 0.5000 x4  4 Hf 3.07, 4 Tc 3.07
Hf: 0.2500 0.2500 0.7500 x4  4 Hf 3.07, 4 Sr 3.07
Tc: 0.2500 0.2500 0.2500 x4  4 Hf 3.07, 4 Sr 3.07


no.,mass density (Mg/m³),total DFT energy (no corrections) (eV/atom)
1,7.96,-6.5901
2,7.91,-5.3415
3,10.11,-7.2592